(1)
Below is ErCo2Ge after structural relaxation, with properties calculated at the PBE-GGA level.

As for the space group: No. 129. The value obtained for the volume is 16.207 A^3/atom. The value obtained for the formation enthalpy at 0 K is -274.8 meV/atom.

Unit cell a=3.767 b=3.767 c=9.135 alpha=90.00 beta=90.00 gamma=90.00
Sites, in units of the cell vectors:
Er (0.250, 0.250, 0.219)
Er (0.750, 0.750, 0.781)
Co (0.250, 0.250, 0.925)
Co (0.250, 0.750, 0.500)
Co (0.750, 0.250, 0.500)
Co (0.750, 0.750, 0.075)
Ge (0.250, 0.250, 0.652)
Ge (0.750, 0.750, 0.348)

(2)
Below is CaCo4Cu after structural relaxation, with properties calculated at the PBE-GGA level.

As for the space group: No. 216. The value obtained for the volume is 13.836 A^3/atom. The value obtained for the formation enthalpy at 0 K is 186.5 meV/atom.

Unit cell a=4.897 b=4.897 c=4.897 alpha=60.00 beta=60.00 gamma=60.00
Sites, in units of the cell vectors:
Ca (0.000, 0.000, 0.000)
Co (0.128, 0.624, 0.624)
Co (0.624, 0.128, 0.624)
Co (0.624, 0.624, 0.128)
Co (0.624, 0.624, 0.624)
Cu (0.250, 0.250, 0.250)

(3)
Below is NaCaH2Cl after structural relaxation, with properties calculated at the PBE-GGA level.

As for the space group: No. 123. The value obtained for the volume is 20.485 A^3/atom. The total energy is -3.235 eV per atom.

Unit cell a=4.296 b=4.296 c=5.550 alpha=90.00 beta=90.00 gamma=90.00
Sites, in units of the cell vectors:
Na (0.000, 0.000, 0.000)
Ca (0.500, 0.500, 0.500)
H (0.000, 0.500, 0.500)
H (0.500, 0.000, 0.500)
Cl (0.500, 0.500, 0.000)

(4)
Below is Sm4Ho15In after structural relaxation, with properties calculated at the PBE-GGA level.

As for the space group: No. 123. The value obtained for the volume is 30.945 A^3/atom. The value obtained for the formation enthalpy at 0 K is -30.3 meV/atom.

Unit cell a=4.965 b=4.965 c=25.109 alpha=90.00 beta=90.00 gamma=90.00
Sites, in units of the cell vectors:
Sm (0.000, 0.000, 0.101)
Sm (0.000, 0.000, 0.302)
Sm (0.000, 0.000, 0.698)
Sm (0.000, 0.000, 0.899)
Ho (0.000, 0.500, 0.000)
Ho (0.000, 0.500, 0.202)
Ho (0.000, 0.500, 0.404)
Ho (0.000, 0.500, 0.596)
Ho (0.000, 0.500, 0.798)
Ho (0.500, 0.000, 0.000)
Ho (0.500, 0.000, 0.202)
Ho (0.500, 0.000, 0.404)
Ho (0.500, 0.000, 0.596)
Ho (0.500, 0.000, 0.798)
Ho (0.500, 0.500, 0.102)
Ho (0.500, 0.500, 0.305)
Ho (0.500, 0.500, 0.500)
Ho (0.500, 0.500, 0.695)
Ho (0.500, 0.500, 0.898)
In (0.000, 0.000, 0.500)

(5)
Below is NiHgOs3 after structural relaxation, with properties calculated at the PBE-GGA level.

As for the space group: No. 221. The value obtained for the volume is 18.056 A^3/atom. The energy above the most stable polymorph in this dataset is 0 meV/atom. The value obtained for the formation enthalpy at 0 K is 1969.5 meV/atom.

Unit cell a=4.486 b=4.486 c=4.486 alpha=90.00 beta=90.00 gamma=90.00
Sites, in units of the cell vectors:
Ni (0.000, 0.000, 0.000)
Hg (0.500, 0.500, 0.500)
Os (0.000, 0.000, 0.500)
Os (0.000, 0.500, 0.000)
Os (0.500, 0.000, 0.000)

(6)
Below is Si2Ge3P6O25 after structural relaxation, with properties calculated at the PBE-GGA level.

As for the space group: No. 163. The formation energy (no corrections) comes out at -2.13 eV per atom. The value obtained for the volume is 13.119 A^3/atom.

Unit cell a=8.096 b=8.096 c=16.641 alpha=90.00 beta=90.00 gamma=120.00
Sites, in units of the cell vectors:
Si (0.000, 0.000, 0.153)
Si (0.000, 0.000, 0.347)
Si (0.000, 0.000, 0.653)
Si (0.000, 0.000, 0.847)
Ge (0.333, 0.667, 0.024)
Ge (0.333, 0.667, 0.476)
Ge (0.333, 0.667, 0.750)
Ge (0.667, 0.333, 0.250)
Ge (0.667, 0.333, 0.524)
Ge (0.667, 0.333, 0.976)
P (0.048, 0.385, 0.892)
P (0.048, 0.662, 0.608)
P (0.338, 0.385, 0.608)
P (0.338, 0.952, 0.892)
P (0.385, 0.048, 0.392)
P (0.385, 0.338, 0.108)
P (0.615, 0.662, 0.892)
P (0.615, 0.952, 0.608)
P (0.662, 0.048, 0.108)
P (0.662, 0.615, 0.392)
P (0.952, 0.338, 0.392)
P (0.952, 0.615, 0.108)
O (0.000, 0.000, 0.250)
O (0.000, 0.000, 0.750)
O (0.042, 0.205, 0.383)
O (0.042, 0.838, 0.117)
O (0.117, 0.539, 0.409)
O (0.117, 0.578, 0.091)
O (0.137, 0.472, 0.811)
O (0.137, 0.665, 0.689)
O (0.162, 0.205, 0.117)
O (0.162, 0.958, 0.383)
O (0.197, 0.445, 0.959)
O (0.197, 0.752, 0.541)
O (0.205, 0.042, 0.883)
O (0.205, 0.162, 0.617)
O (0.248, 0.445, 0.541)
O (0.248, 0.803, 0.959)
O (0.335, 0.472, 0.689)
O (0.335, 0.863, 0.811)
O (0.422, 0.539, 0.091)
O (0.422, 0.883, 0.409)
O (0.445, 0.197, 0.459)
O (0.445, 0.248, 0.041)
O (0.461, 0.578, 0.409)
O (0.461, 0.883, 0.091)
O (0.472, 0.137, 0.311)
O (0.472, 0.335, 0.189)
O (0.528, 0.665, 0.811)
O (0.528, 0.863, 0.689)
O (0.539, 0.117, 0.909)
O (0.539, 0.422, 0.591)
O (0.555, 0.752, 0.959)
O (0.555, 0.803, 0.541)
O (0.578, 0.117, 0.591)
O (0.578, 0.461, 0.909)
O (0.665, 0.137, 0.189)
O (0.665, 0.528, 0.311)
O (0.752, 0.197, 0.041)
O (0.752, 0.555, 0.459)
O (0.795, 0.838, 0.383)
O (0.795, 0.958, 0.117)
O (0.803, 0.248, 0.459)
O (0.803, 0.555, 0.041)
O (0.838, 0.042, 0.617)
O (0.838, 0.795, 0.883)
O (0.863, 0.335, 0.311)
O (0.863, 0.528, 0.189)
O (0.883, 0.422, 0.909)
O (0.883, 0.461, 0.591)
O (0.958, 0.162, 0.883)
O (0.958, 0.795, 0.617)